[1]
5
Lattice="4.7904 0.0000 0.0000 0.0000 4.7904 0.0000 0.0000 0.0000 4.7904" Properties=species:S:1:pos:R:3 comment="NaZrGa3 PBE-GGA optimized geometry" dos_ef_per_ev_cell=2.3 e_tot_ev_per_atom=-3.074 relative_energy_mev_per_atom=424 ef_kj_per_mol_atoms=69 pbc="T T T"
Na 0.0000 0.0000 0.0000
Ga 0.0000 0.0000 2.3952
Ga 2.3952 0.0000 0.0000
Ga 0.0000 2.3952 0.0000
Zr 2.3952 2.3952 2.3952

[2]
6
Lattice="4.8618 -0.0088 -0.0183 0.0220 9.0838 0.0443 0.0126 0.5251 3.1147" Properties=species:S:1:pos:R:3 comment="NaZrGa PBE-GGA optimized geometry" dos_ef_per_ev_cell=3.7 e_tot_ev_per_atom=-4.254 relative_energy_mev_per_atom=208 ef_kj_per_mol_atoms=4 pbc="T T T"
Zr 2.5398 8.2963 1.1315
Zr 0.1072 6.4078 1.4588
Na 0.0989 2.5159 0.5518
Na 2.5308 4.4055 0.1798
Ga 2.5345 1.7925 2.2532
Ga 0.1158 8.9950 2.6243

[3]
5
Lattice="-4.2082 -2.6278 1.3978 0.3725 -2.8666 -4.2676 2.9531 -3.3831 2.5303" Properties=species:S:1:pos:R:3 comment="NaZr3Ga PBE-GGA optimized geometry" dos_ef_per_ev_cell=10.5 e_tot_ev_per_atom=-5.360 relative_energy_mev_per_atom=0 ef_kj_per_mol_atoms=62 pbc="T T T"
Zr 0.1863 -1.4333 -2.1338
Zr 1.4765 -1.6916 1.2651
Zr -2.1041 -1.3139 0.6989
Ga 0.0000 0.0000 0.0000
Na -0.4413 -4.4388 -0.1697

[4]
5
Lattice="4.9460 0.0000 0.0000 0.0000 4.9460 0.0000 0.0000 0.0000 4.9460" Properties=species:S:1:pos:R:3 comment="NaZr3Ga PBE-GGA optimized geometry" dos_ef_per_ev_cell=5.0 e_tot_ev_per_atom=-4.683 relative_energy_mev_per_atom=677 ef_kj_per_mol_atoms=127 pbc="T T T"
Zr 2.4730 0.0000 0.0000
Zr 0.0000 2.4730 0.0000
Zr 0.0000 0.0000 2.4730
Ga 2.4730 2.4730 2.4730
Na 0.0000 0.0000 0.0000

[5]
6
Lattice="-2.7481 1.4496 -0.3452 -6.3108 -12.6388 -2.7113 -0.8607 -0.9530 2.8502" Properties=species:S:1:pos:R:3 comment="NaZrGa PBE-GGA optimized geometry" dos_ef_per_ev_cell=4.2 e_tot_ev_per_atom=-4.454 relative_energy_mev_per_atom=7 ef_kj_per_mol_atoms=-15 pbc="T T T"
Na -1.2704 -1.0654 1.4746
Na -7.3025 -9.8556 -1.5658
Zr -4.3811 -7.7147 -1.6854
Zr -2.8863 -4.5207 -0.1690
Ga -5.4569 -5.9092 0.3064
Ga -3.9328 -2.6524 1.8531

[6]
12
Lattice="-0.8875 -0.1200 -8.3748 3.9662 -4.6672 -0.3534 -3.6993 -3.1768 0.4375" Properties=species:S:1:pos:R:3 comment="NaZrGa PBE-GGA optimized geometry" dos_ef_per_ev_cell=1.8 e_tot_ev_per_atom=-3.973 relative_energy_mev_per_atom=489 ef_kj_per_mol_atoms=31 pbc="T T T"
Na -1.0220 -6.7167 -2.6428
Na 0.3820 -5.1899 -7.0487
Na -1.0026 -2.7741 -1.2420
Na 0.4015 -1.2472 -5.6479
Zr 2.3778 -3.5820 -5.8855
Zr -1.5949 -2.8557 -6.8111
Zr -2.9983 -4.3820 -2.4052
Zr 0.9744 -5.1083 -1.4796
Ga 1.9831 -2.3336 -0.1767
Ga 0.0000 0.0000 0.0000
Ga -2.2934 -1.6484 -3.9686
Ga -0.3103 -3.9820 -4.1454

[7]
6
Lattice="5.0010 0.0000 0.0000 0.0000 5.0010 0.0000 0.0000 0.0000 6.9907" Properties=species:S:1:pos:R:3 comment="NaZrGa PBE-GGA optimized geometry" dos_ef_per_ev_cell=2.3 e_tot_ev_per_atom=-4.066 relative_energy_mev_per_atom=396 ef_kj_per_mol_atoms=22 pbc="T T T"
Ga 0.0000 0.0000 3.4953
Ga 2.5005 2.5005 3.4953
Na 0.0000 2.5005 1.1437
Na 2.5005 0.0000 5.8470
Zr 0.0000 2.5005 4.4013
Zr 2.5005 0.0000 2.5894

[8]
6
Lattice="-2.7800 0.6763 -1.3853 -0.1038 -2.9322 -1.2233 -6.6206 -4.4104 11.1331" Properties=species:S:1:pos:R:3 comment="NaZrGa PBE-GGA optimized geometry" dos_ef_per_ev_cell=3.5 e_tot_ev_per_atom=-4.436 relative_energy_mev_per_atom=26 ef_kj_per_mol_atoms=-13 pbc="T T T"
Zr -0.6122 -1.8394 0.3306
Zr -7.4503 -3.6989 9.4982
Na -2.6085 -3.1692 3.6875
Na -5.4540 -2.3691 6.1413
Ga -2.8938 -0.6636 1.8361
Ga -5.1687 -4.8747 7.9927

[9]
6
Lattice="8.8841 0.0000 0.0001 6.9767 1.5643 -4.9957 -6.9767 1.5643 4.9957" Properties=species:S:1:pos:R:3 comment="NaZrGa PBE-GGA optimized geometry" dos_ef_per_ev_cell=0.1 e_tot_ev_per_atom=-4.287 relative_energy_mev_per_atom=175 ef_kj_per_mol_atoms=1 pbc="T T T"
Ga 9.2049 1.5643 -2.4331
Ga -4.8489 1.5643 3.7858
Zr 0.5343 1.5643 0.7340
Zr 0.4130 1.5643 4.0857
Na 4.6884 1.5643 -2.6185
Na 4.1960 1.5643 0.5667

[10]
6
Lattice="-2.8954 -13.3232 1.6316 -0.2892 -4.9767 -2.4435 3.9629 3.8875 0.0685" Properties=species:S:1:pos:R:3 comment="NaZrGa PBE-GGA optimized geometry" dos_ef_per_ev_cell=5.1 e_tot_ev_per_atom=-4.248 relative_energy_mev_per_atom=214 ef_kj_per_mol_atoms=5 pbc="T T T"
Ga -1.3613 -13.2859 -0.2911
Ga 3.0550 1.4503 -0.2181
Na 1.2954 -6.6992 0.7976
Na -0.3580 -9.2946 -0.5696
Zr 0.2170 -4.8412 -1.7226
Zr 1.8761 -2.5259 -0.2182

[11]
5
Lattice="-0.0329 -2.6023 4.5996 -4.5841 -2.2746 -1.3197 2.6295 -3.9979 -2.2431" Properties=species:S:1:pos:R:3 comment="NaZrGa3 PBE-GGA optimized geometry" dos_ef_per_ev_cell=3.4 e_tot_ev_per_atom=-3.499 relative_energy_mev_per_atom=0 ef_kj_per_mol_atoms=28 pbc="T T T"
Ga -0.0164 -1.3012 2.2998
Ga 1.3147 -1.9990 -1.1216
Ga -2.2921 -1.1373 -0.6598
Zr 0.0000 0.0000 0.0000
Na -0.9938 -4.4374 0.5184

[12]
8
Lattice="7.4451 0.0000 0.0000 0.0000 7.4451 0.0000 3.7225 3.7225 3.1201" Properties=species:S:1:pos:R:3 comment="NaZrGa2 PBE-GGA optimized geometry" dos_ef_per_ev_cell=5.1 e_tot_ev_per_atom=-3.816 relative_energy_mev_per_atom=389 ef_kj_per_mol_atoms=16 pbc="T T T"
Ga 9.3064 9.2971 2.3401
Ga 5.5746 1.8613 0.7800
Ga 1.8705 5.5838 0.7800
Ga 5.5838 5.5930 2.3401
Zr 0.0000 0.0000 0.0000
Zr 7.4451 3.7225 1.5601
Na 3.7225 3.7225 0.0000
Na 3.7225 7.4451 1.5601

[13]
6
Lattice="2.2366 -9.2632 0.0000 2.2366 9.2632 0.0000 0.0000 0.0000 3.5051" Properties=species:S:1:pos:R:3 comment="NaZrGa PBE-GGA optimized geometry" dos_ef_per_ev_cell=3.1 e_tot_ev_per_atom=-4.417 relative_energy_mev_per_atom=45 ef_kj_per_mol_atoms=-11 pbc="T T T"
Ga 2.2366 1.0335 0.8763
Ga 2.2366 -1.0335 2.6288
Zr 2.2366 -8.0400 2.6288
Zr 2.2366 8.0400 0.8763
Na 2.2366 3.7385 2.6288
Na 2.2366 -3.7385 0.8763

[14]
6
Lattice="10.3046 0.0000 -0.0473 0.0000 3.7160 0.0000 -0.8322 0.0000 4.0975" Properties=species:S:1:pos:R:3 comment="NaZrGa PBE-GGA optimized geometry" dos_ef_per_ev_cell=5.2 e_tot_ev_per_atom=-4.449 relative_energy_mev_per_atom=13 ef_kj_per_mol_atoms=-15 pbc="T T T"
Ga 0.9147 2.7870 0.1852
Ga 8.5577 0.9290 3.8650
Na 3.7735 2.7870 0.7626
Na 5.6989 0.9290 3.2876
Zr 8.6634 2.7870 1.7546
Zr 0.8091 0.9290 2.2955

[15]
6
Lattice="-0.2071 -6.3127 7.6868 -1.9533 -4.8926 0.6168 3.9385 2.0191 -2.9232" Properties=species:S:1:pos:R:3 comment="NaZrGa PBE-GGA optimized geometry" dos_ef_per_ev_cell=1.6 e_tot_ev_per_atom=-4.307 relative_energy_mev_per_atom=155 ef_kj_per_mol_atoms=-1 pbc="T T T"
Na 1.4092 -3.5805 1.8763
Na 0.3690 -5.6057 3.5041
Zr 3.3545 0.9953 -2.1502
Zr -1.5764 -10.1815 7.5306
Ga -0.3797 -7.9043 5.7234
Ga 2.1579 -1.2819 -0.3431

[16]
4
Lattice="-3.6988 -0.9319 2.9396 -2.0855 3.5796 2.4552 -4.4361 1.4602 -1.1744" Properties=species:S:1:pos:R:3 comment="NaZrGa2 PBE-GGA optimized geometry" dos_ef_per_ev_cell=2.9 e_tot_ev_per_atom=-4.050 relative_energy_mev_per_atom=154 ef_kj_per_mol_atoms=-7 pbc="T T T"
Zr -5.1102 2.0539 2.1102
Ga -7.6653 3.0809 3.1652
Ga -2.5551 1.0270 1.0551
Na 0.0000 0.0000 0.0000

[17]
6
Lattice="-2.9622 3.3054 -2.3231 -2.0110 -3.9013 2.4150 -0.2910 3.1845 4.9020" Properties=species:S:1:pos:R:3 comment="NaZrGa PBE-GGA optimized geometry" dos_ef_per_ev_cell=1.0 e_tot_ev_per_atom=-4.362 relative_energy_mev_per_atom=100 ef_kj_per_mol_atoms=-6 pbc="T T T"
Zr -2.8634 3.2915 2.9328
Zr -2.4008 -0.7030 2.0612
Ga -2.5463 0.8893 4.5122
Ga -2.7179 1.6993 0.4818
Na -0.1455 1.5923 2.4510
Na 0.0000 0.0000 0.0000

[18]
6
Lattice="5.8292 0.0009 -0.0089 0.0464 8.1744 0.0006 -0.8373 -0.0025 3.0250" Properties=species:S:1:pos:R:3 comment="NaZrGa PBE-GGA optimized geometry" dos_ef_per_ev_cell=1.2 e_tot_ev_per_atom=-4.281 relative_energy_mev_per_atom=181 ef_kj_per_mol_atoms=2 pbc="T T T"
Ga 3.2581 6.4993 0.0460
Ga -0.0565 2.4675 2.4005
Na 2.7681 3.7461 1.5485
Na -0.4674 5.7874 2.2572
Zr 1.5768 0.3761 1.2233
Zr 4.4626 0.9002 0.3955

[19]
6
Lattice="13.4993 0.0000 0.0505 5.6697 1.5434 -3.3256 -5.6697 1.5434 3.3256" Properties=species:S:1:pos:R:3 comment="NaZrGa PBE-GGA optimized geometry" dos_ef_per_ev_cell=3.4 e_tot_ev_per_atom=-4.312 relative_energy_mev_per_atom=150 ef_kj_per_mol_atoms=-1 pbc="T T T"
Na 4.9680 1.5434 0.5438
Na 8.5313 1.5434 -0.4933
Ga 12.9619 1.5434 -1.2688
Ga 0.5373 1.5434 1.3193
Zr -3.8136 1.5434 2.5904
Zr 17.3128 1.5434 -2.5399

[20]
3
Lattice="-4.2237 -2.6173 0.0324 2.5169 0.7075 4.2256 -1.6211 2.6225 0.5265" Properties=species:S:1:pos:R:3 comment="NaZrGa PBE-GGA optimized geometry" dos_ef_per_ev_cell=1.4 e_tot_ev_per_atom=-4.048 relative_energy_mev_per_atom=414 ef_kj_per_mol_atoms=24 pbc="T T T"
Zr 0.2701 -0.4008 2.8279
Ga 0.0000 0.0000 0.0000
Na -2.7874 -0.1978 1.6934